CoBC after structural relaxation. Source: Alexandria via LeMat-Bulk, functional GGA-PBE.

```
data_CoBC
_chemical_formula_sum 'Co4 B4 C4'
_cell_length_a 7.3112
_cell_length_b 2.7737
_cell_length_c 5.4729
_cell_angle_alpha 90.00
_cell_angle_beta 119.65
_cell_angle_gamma 90.00
_symmetry_space_group_name_H-M 'C 1 m 1'
_symmetry_Int_Tables_number 8
_symmetry_space_group_name_Hall 'C -2y'
loop_
_atom_site_label
_atom_site_type_symbol
_atom_site_fract_x
_atom_site_fract_y
_atom_site_fract_z
_atom_site_occupancy
Co1 Co 0.0000 0.0000 0.0000 1
Co2 Co 0.0969 0.5000 0.6645 1
B1 B 0.2312 0.5000 0.3811 1
B2 B 0.2667 0.0000 0.9271 1
C1 C 0.3102 0.0000 0.3237 1
C2 C 0.4759 0.0000 0.2412 1
```

Properties
ΔE_f = 0.2760 eV per atom
spin magnetization = 0.000 μB/f.u.
offset from the most stable computed form = 124 meV/atom
D(E_F) = 4.462 states/eV per cell
E_tot = -7.393 eV/atom

=====

CoBC after structural relaxation. Source: Alexandria via LeMat-Bulk, functional GGA-PBE.

```
data_CoBC
_chemical_formula_sum 'Co1 B1 C1'
_cell_length_a 2.7427
_cell_length_b 2.7427
_cell_length_c 3.8636
_cell_angle_alpha 90.00
_cell_angle_beta 90.00
_cell_angle_gamma 120.00
_symmetry_space_group_name_H-M 'P -6 m 2'
_symmetry_Int_Tables_number 187
_symmetry_space_group_name_Hall 'P -6 2'
loop_
_atom_site_label
_atom_site_type_symbol
_atom_site_fract_x
_atom_site_fract_y
_atom_site_fract_z
_atom_site_occupancy
Co1 Co 0.0000 0.0000 0.0000 1
B1 B 0.3333 0.6667 0.5000 1
C1 C 0.0000 0.0000 0.5000 1
```

Properties
ΔE_f = 0.1515 eV per atom
spin magnetization = 1.749 μB/f.u.
offset from the most stable computed form = 0 meV/atom
D(E_F) = 2.458 states/eV per cell
E_tot = -7.518 eV/atom

=====

CoBC after structural relaxation. Source: Alexandria via LeMat-Bulk, functional GGA-PBE.

```
data_CoBC
_chemical_formula_sum 'Co4 B4 C4'
_cell_length_a 7.5690
_cell_length_b 2.6569
_cell_length_c 5.3605
_cell_angle_alpha 90.00
_cell_angle_beta 117.74
_cell_angle_gamma 90.00
_symmetry_space_group_name_H-M 'C 1 m 1'
_symmetry_Int_Tables_number 8
_symmetry_space_group_name_Hall 'C -2y'
loop_
_atom_site_label
_atom_site_type_symbol
_atom_site_fract_x
_atom_site_fract_y
_atom_site_fract_z
_atom_site_occupancy
Co1 Co 0.0000 0.0000 0.0000 1
Co2 Co 0.1984 0.5000 0.4752 1
B1 B 0.3111 0.0000 0.2919 1
B2 B 0.4969 0.0000 0.6453 1
C1 C 0.1308 0.0000 0.7424 1
C2 C 0.3152 0.0000 0.0046 1
```

Properties
ΔE_f = 0.3682 eV per atom
spin magnetization = 0.451 μB/f.u.
offset from the most stable computed form = 217 meV/atom
D(E_F) = 7.924 states/eV per cell
E_tot = -7.301 eV/atom

=====

CoBC after structural relaxation. Source: Alexandria via LeMat-Bulk, functional GGA-PBE.

```
data_CoBC
_chemical_formula_sum 'Co4 B4 C4'
_cell_length_a 7.4105
_cell_length_b 2.6694
_cell_length_c 4.9324
_cell_angle_alpha 90.00
_cell_angle_beta 102.16
_cell_angle_gamma 90.00
_symmetry_space_group_name_H-M 'C 1 m 1'
_symmetry_Int_Tables_number 8
_symmetry_space_group_name_Hall 'C -2y'
loop_
_atom_site_label
_atom_site_type_symbol
_atom_site_fract_x
_atom_site_fract_y
_atom_site_fract_z
_atom_site_occupancy
Co1 Co 0.0000 0.0000 0.0000 1
Co2 Co 0.2488 0.0000 0.7157 1
B1 B 0.1204 0.5000 0.3538 1
B2 B 0.2145 0.5000 0.0335 1
C1 C 0.0136 0.0000 0.4054 1
C2 C 0.3430 0.5000 0.4951 1
```

Properties
ΔE_f = 0.2837 eV per atom
spin magnetization = 0.242 μB/f.u.
offset from the most stable computed form = 132 meV/atom
D(E_F) = 7.746 states/eV per cell
E_tot = -7.385 eV/atom

=====

CoB2C after structural relaxation. Source: Alexandria via LeMat-Bulk, functional GGA-PBE.

```
data_CoB2C
_chemical_formula_sum 'Co4 B8 C4'
_cell_length_a 4.3814
_cell_length_b 4.3814
_cell_length_c 7.1433
_cell_angle_alpha 90.00
_cell_angle_beta 90.00
_cell_angle_gamma 90.00
_symmetry_space_group_name_H-M 'I -4 2 d'
_symmetry_Int_Tables_number 122
_symmetry_space_group_name_Hall 'I -4 2bw'
loop_
_atom_site_label
_atom_site_type_symbol
_atom_site_fract_x
_atom_site_fract_y
_atom_site_fract_z
_atom_site_occupancy
Co1 Co 0.0000 0.0000 0.0000 1
B1 B 0.1730 0.2500 0.6250 1
C1 C 0.0000 0.0000 0.5000 1
```

Properties
ΔE_f = 0.5822 eV per atom
spin magnetization = 0.488 μB/f.u.
D(E_F) = 12.232 states/eV per cell
E_tot = -6.839 eV/atom

=====

CoBC after structural relaxation. Source: Alexandria via LeMat-Bulk, functional GGA-PBE.

```
data_CoBC
_chemical_formula_sum 'Co4 B4 C4'
_cell_length_a 7.2500
_cell_length_b 2.6728
_cell_length_c 5.7557
_cell_angle_alpha 90.00
_cell_angle_beta 115.69
_cell_angle_gamma 90.00
_symmetry_space_group_name_H-M 'C 1 m 1'
_symmetry_Int_Tables_number 8
_symmetry_space_group_name_Hall 'C -2y'
loop_
_atom_site_label
_atom_site_type_symbol
_atom_site_fract_x
_atom_site_fract_y
_atom_site_fract_z
_atom_site_occupancy
Co1 Co 0.0000 0.0000 0.0000 1
Co2 Co 0.1909 0.0000 0.6946 1
B1 B 0.2597 0.0000 0.3649 1
B2 B 0.4984 0.0000 0.7389 1
C1 C 0.1283 0.5000 0.3142 1
C2 C 0.4974 0.0000 0.4499 1
```

Properties
ΔE_f = 0.3221 eV per atom
spin magnetization = 0.003 μB/f.u.
offset from the most stable computed form = 171 meV/atom
D(E_F) = 5.589 states/eV per cell
E_tot = -7.347 eV/atom

=====

CoBC after structural relaxation. Source: Alexandria via LeMat-Bulk, functional GGA-PBE.

```
data_CoBC
_chemical_formula_sum 'Co2 B2 C2'
_cell_length_a 4.8740
_cell_length_b 2.6622
_cell_length_c 4.1887
_cell_angle_alpha 90.00
_cell_angle_beta 120.24
_cell_angle_gamma 90.00
_symmetry_space_group_name_H-M 'C 1 m 1'
_symmetry_Int_Tables_number 8
_symmetry_space_group_name_Hall 'C -2y'
loop_
_atom_site_label
_atom_site_type_symbol
_atom_site_fract_x
_atom_site_fract_y
_atom_site_fract_z
_atom_site_occupancy
Co1 Co 0.0000 0.0000 0.0000 1
B1 B 0.0788 0.5000 0.4833 1
C1 C 0.2849 0.0000 0.5435 1
```

Properties
ΔE_f = 0.1621 eV per atom
spin magnetization = 1.127 μB/f.u.
offset from the most stable computed form = 11 meV/atom
D(E_F) = 3.656 states/eV per cell
E_tot = -7.507 eV/atom

=====

CoBC after structural relaxation. Source: Alexandria via LeMat-Bulk, functional GGA-PBE.

```
data_CoBC
_chemical_formula_sum 'Co4 B4 C4'
_cell_length_a 7.5334
_cell_length_b 2.6535
_cell_length_c 5.0111
_cell_angle_alpha 90.00
_cell_angle_beta 96.99
_cell_angle_gamma 90.00
_symmetry_space_group_name_H-M 'C 1 m 1'
_symmetry_Int_Tables_number 8
_symmetry_space_group_name_Hall 'C -2y'
loop_
_atom_site_label
_atom_site_type_symbol
_atom_site_fract_x
_atom_site_fract_y
_atom_site_fract_z
_atom_site_occupancy
Co1 Co 0.0000 0.0000 0.0000 1
Co2 Co 0.2396 0.5000 0.2930 1
B1 B 0.2818 0.0000 0.9856 1
B2 B 0.3796 0.0000 0.6807 1
C1 C 0.0709 0.0000 0.3784 1
C2 C 0.4532 0.5000 0.5769 1
```

Properties
ΔE_f = 0.2876 eV per atom
spin magnetization = 0.000 μB/f.u.
offset from the most stable computed form = 136 meV/atom
D(E_F) = 5.373 states/eV per cell
E_tot = -7.381 eV/atom

=====

CoBC after structural relaxation. Source: Alexandria via LeMat-Bulk, functional GGA-PBE.

```
data_CoBC
_chemical_formula_sum 'Co2 B2 C2'
_cell_length_a 6.7414
_cell_length_b 2.9069
_cell_length_c 2.7607
_cell_angle_alpha 90.00
_cell_angle_beta 114.02
_cell_angle_gamma 90.00
_symmetry_space_group_name_H-M 'C 1 m 1'
_symmetry_Int_Tables_number 8
_symmetry_space_group_name_Hall 'C -2y'
loop_
_atom_site_label
_atom_site_type_symbol
_atom_site_fract_x
_atom_site_fract_y
_atom_site_fract_z
_atom_site_occupancy
Co1 Co 0.0000 0.0000 0.0000 1
B1 B 0.3561 0.0000 0.3561 1
C1 C 0.2626 0.0000 0.7630 1
```

Properties
ΔE_f = 0.3193 eV per atom
spin magnetization = 0.000 μB/f.u.
offset from the most stable computed form = 168 meV/atom
D(E_F) = 3.630 states/eV per cell
E_tot = -7.350 eV/atom

=====

Cs2CoBC after structural relaxation. Source: Alexandria via LeMat-Bulk, functional GGA-PBE.

```
data_Cs2CoBC
_chemical_formula_sum 'Cs2 Co1 B1 C1'
_cell_length_a 6.4705
_cell_length_b 6.4705
_cell_length_c 3.6148
_cell_angle_alpha 90.00
_cell_angle_beta 90.00
_cell_angle_gamma 90.00
_symmetry_space_group_name_H-M 'P 4/m m m'
_symmetry_Int_Tables_number 123
_symmetry_space_group_name_Hall '-P 4 2'
loop_
_atom_site_label
_atom_site_type_symbol
_atom_site_fract_x
_atom_site_fract_y
_atom_site_fract_z
_atom_site_occupancy
Cs1 Cs 0.0000 0.5000 0.0000 1
Co1 Co 0.0000 0.0000 0.5000 1
B1 B 0.5000 0.5000 0.5000 1
C1 C 0.0000 0.0000 0.0000 1
```

Properties
ΔE_f = 1.4999 eV per atom
spin magnetization = 1.578 μB/f.u.
D(E_F) = 9.785 states/eV per cell
E_tot = -3.443 eV/atom